(1)
Hf2Ni3Rh | PBE | relaxed

- total magnetization (μB per atom) = 0.0000
- theoretical density (g cm⁻³) = 11.06
- density of states at the Fermi level (states/eV/atom) = 0.62
- ΔH_f (0 K) (eV/atom) = -0.2596

Cell: 8.800 8.800 7.939 Å, 123.66 123.66 90.00°
Positions (direct):
Hf 0.865 0.676 0.730
Hf 0.385 0.074 0.770
Hf 0.926 0.615 0.230
Hf 0.324 0.135 0.270
Hf 0.946 0.135 0.270
Hf 0.304 0.615 0.230
Hf 0.865 0.054 0.730
Hf 0.385 0.696 0.770
Ni 0.125 0.875 0.750
Ni 0.002 0.998 0.500
Ni 0.752 0.752 0.000
Ni 0.125 0.375 0.250
Ni 0.125 0.875 0.250
Ni 0.498 0.502 0.500
Ni 0.625 0.875 0.750
Ni 0.498 0.998 0.500
Ni 0.248 0.752 0.000
Ni 0.002 0.502 0.500
Ni 0.248 0.248 0.000
Ni 0.752 0.248 0.000
Rh 0.899 0.399 0.798
Rh 0.601 0.101 0.202
Rh 0.649 0.649 0.298
Rh 0.351 0.351 0.702

(2)
Hf3NiRh | PBE | relaxed

- distance to the lowest polymorph of the same formula (meV per atom) = 0
- total magnetization (μB per atom) = 0.0000
- theoretical density (g cm⁻³) = 11.77
- density of states at the Fermi level (states/eV/atom) = 0.59
- ΔH_f (0 K) (eV/atom) = -0.2095

Cell: 5.917 5.917 7.333 Å, 66.20 66.20 60.00°
Positions (direct):
Hf 0.745 0.349 0.755
Hf 0.850 0.651 0.245
Hf 0.150 0.745 0.755
Hf 0.255 0.850 0.245
Hf 0.349 0.150 0.755
Hf 0.651 0.255 0.245
Ni 0.316 0.316 0.052
Ni 0.684 0.684 0.948
Rh 0.818 0.818 0.546
Rh 0.182 0.182 0.454

(3)
Hf3NiRh2 | PBE | relaxed

- total magnetization (μB per atom) = 0.0000
- theoretical density (g cm⁻³) = 12.93
- density of states at the Fermi level (states/eV/atom) = 0.72
- ΔH_f (0 K) (eV/atom) = -0.7188

Cell: 4.563 4.563 11.395 Å, 90.00 90.00 120.00°
Positions (direct):
Ni 0.667 0.333 0.355
Ni 0.333 0.667 0.645
Hf 0.000 0.000 0.747
Hf 0.000 0.000 0.253
Hf 0.667 0.333 0.090
Hf 0.333 0.667 0.413
Hf 0.333 0.667 0.910
Hf 0.667 0.333 0.587
Rh 0.000 0.000 0.000
Rh 0.000 0.000 0.500
Rh 0.667 0.333 0.845
Rh 0.333 0.667 0.155

(4)
HfNi2Rh2 | PBE | relaxed

- distance to the lowest polymorph of the same formula (meV per atom) = 85
- total magnetization (μB per atom) = 0.0000
- theoretical density (g cm⁻³) = 11.50
- density of states at the Fermi level (states/eV/atom) = 1.49
- ΔH_f (0 K) (eV/atom) = -0.1981

Cell: 6.975 6.975 2.977 Å, 90.00 90.00 90.00°
Positions (direct):
Ni 0.335 0.165 0.500
Ni 0.165 0.665 0.500
Ni 0.665 0.835 0.500
Ni 0.835 0.335 0.500
Rh 0.367 0.867 0.000
Rh 0.133 0.367 0.000
Rh 0.633 0.133 0.000
Rh 0.867 0.633 0.000
Hf 0.500 0.500 0.000
Hf 0.000 0.000 0.000